The following is a PBE-GGA calculation of an optimized crystal structure of ZrTi2Al2, from Alexandria. Values from VASP.

Cell and atoms, written as Quantum ESPRESSO input:
```
&SYSTEM
  ibrav = 0, nat = 10, ntyp = 3
/
ATOMIC_SPECIES
Zr 91.22 Zr.upf
Ti 47.87 Ti.upf
Al 26.98 Al.upf
ATOMIC_POSITIONS crystal
Zr 0.000 0.000 0.000
Zr 0.500 0.500 0.000
Ti 0.117 0.383 0.000
Ti 0.383 0.883 0.000
Ti 0.617 0.117 0.000
Ti 0.883 0.617 0.000
Al 0.178 0.678 0.500
Al 0.322 0.178 0.500
Al 0.678 0.822 0.500
Al 0.822 0.322 0.500
CELL_PARAMETERS angstrom
7.905 0.000 0.000
0.000 7.905 0.000
0.000 0.000 2.861
```

Summary:
Polymorph energy (0 for the lowest one) ... 0.1002 eV per atom
Formation enthalpy at 0 K ... -0.2214 eV per atom
E ... -6.586 eV/atom

---

The following is a PBE-GGA calculation of an optimized crystal structure of Dy3TePtCl, from Alexandria. Values from VASP.

Cell and atoms, written as Quantum ESPRESSO input:
```
&SYSTEM
  ibrav = 0, nat = 12, ntyp = 4
/
ATOMIC_SPECIES
Dy 162.50 Dy.upf
Te 127.60 Te.upf
Pt 195.08 Pt.upf
Cl 35.45 Cl.upf
ATOMIC_POSITIONS crystal
Dy 0.129 0.250 0.319
Dy 0.150 0.250 0.904
Dy 0.310 0.750 0.620
Dy 0.690 0.250 0.380
Dy 0.850 0.750 0.096
Dy 0.871 0.750 0.681
Te 0.406 0.750 0.316
Te 0.594 0.250 0.684
Pt 0.075 0.250 0.613
Pt 0.925 0.750 0.387
Cl 0.355 0.750 0.915
Cl 0.645 0.250 0.085
CELL_PARAMETERS angstrom
8.532 0.000 0.000
0.000 4.134 0.000
-1.093 0.000 9.689
```

Summary:
E ... -5.410 eV/atom
Formation energy without anion corrections ... -7.63 eV per formula unit

---

The following is a PBE-GGA calculation of an optimized crystal structure of LaTb5Sm4, from Alexandria. Values from VASP.

Cell and atoms, written as Quantum ESPRESSO input:
```
&SYSTEM
  ibrav = 0, nat = 10, ntyp = 3
/
ATOMIC_SPECIES
La 138.91 La.upf
Tb 158.93 Tb.upf
Sm 150.36 Sm.upf
ATOMIC_POSITIONS crystal
La 0.000 0.000 0.000
Tb 0.000 0.000 0.500
Tb 0.201 0.201 0.101
Tb 0.201 0.201 0.600
Tb 0.799 0.799 0.400
Tb 0.799 0.799 0.899
Sm 0.398 0.398 0.201
Sm 0.398 0.398 0.697
Sm 0.602 0.602 0.303
Sm 0.602 0.602 0.799
CELL_PARAMETERS angstrom
12.884 -1.806 0.000
12.884 1.806 0.000
-1.007 0.000 7.135
```

Summary:
Polymorph energy (0 for the lowest one) ... 0.0000 eV per atom
Formation enthalpy at 0 K ... 0.0150 eV per atom
E ... -4.681 eV/atom

---

The following is a PBE-GGA calculation of an optimized crystal structure of Mn3V2Ga2, from Alexandria. Values from VASP.

Cell and atoms, written as Quantum ESPRESSO input:
```
&SYSTEM
  ibrav = 0, nat = 7, ntyp = 3
/
ATOMIC_SPECIES
Mn 54.94 Mn.upf
V 50.94 V.upf
Ga 69.72 Ga.upf
ATOMIC_POSITIONS crystal
Mn 0.000 0.000 0.000
Mn 0.259 0.259 0.778
Mn 0.741 0.741 0.222
V 0.379 0.379 0.137
V 0.621 0.621 0.863
Ga 0.130 0.130 0.388
Ga 0.870 0.870 0.612
CELL_PARAMETERS angstrom
3.568 -2.065 0.000
3.568 2.065 0.000
-2.376 0.000 6.574
```

Summary:
Formation enthalpy at 0 K ... -0.0992 eV per atom
E ... -7.499 eV/atom

---

The following is a PBE-GGA calculation of an optimized crystal structure of MgVCu, from Alexandria. Values from VASP.

Cell and atoms, written as Quantum ESPRESSO input:
```
&SYSTEM
  ibrav = 0, nat = 6, ntyp = 3
/
ATOMIC_SPECIES
Mg 24.30 Mg.upf
V 50.94 V.upf
Cu 63.55 Cu.upf
ATOMIC_POSITIONS crystal
Mg 0.000 0.000 0.000
Mg 0.500 0.500 0.000
V 0.156 0.500 0.392
V 0.844 0.500 0.608
Cu 0.323 0.000 0.649
Cu 0.677 0.000 0.351
CELL_PARAMETERS angstrom
4.131 0.000 0.000
0.000 4.280 0.000
-1.728 0.000 5.218
```

Summary:
Polymorph energy (0 for the lowest one) ... 0.0993 eV per atom
Formation enthalpy at 0 K ... 0.2101 eV per atom
E ... -4.726 eV/atom

---

The following is a PBE-GGA calculation of an optimized crystal structure of CsCd2InIr, from Alexandria. Values from VASP.

Cell and atoms, written as Quantum ESPRESSO input:
```
&SYSTEM
  ibrav = 0, nat = 5, ntyp = 4
/
ATOMIC_SPECIES
Cs 132.91 Cs.upf
Cd 112.41 Cd.upf
In 114.82 In.upf
Ir 192.22 Ir.upf
ATOMIC_POSITIONS crystal
Cs 0.000 0.000 0.000
Cd 0.000 0.500 0.500
Cd 0.500 0.000 0.500
In 0.500 0.500 0.000
Ir 0.500 0.500 0.500
CELL_PARAMETERS angstrom
5.426 0.000 0.000
0.000 5.426 0.000
0.000 0.000 5.215
```

Summary:
Formation enthalpy at 0 K ... -0.1011 eV per atom
E ... -2.958 eV/atom

---

Please write out number 5 again, unchanged.
The following is a PBE-GGA calculation of an optimized crystal structure of MgVCu, from Alexandria. Values from VASP.

Cell and atoms, written as Quantum ESPRESSO input:
```
&SYSTEM
  ibrav = 0, nat = 6, ntyp = 3
/
ATOMIC_SPECIES
Mg 24.30 Mg.upf
V 50.94 V.upf
Cu 63.55 Cu.upf
ATOMIC_POSITIONS crystal
Mg 0.000 0.000 0.000
Mg 0.500 0.500 0.000
V 0.156 0.500 0.392
V 0.844 0.500 0.608
Cu 0.323 0.000 0.649
Cu 0.677 0.000 0.351
CELL_PARAMETERS angstrom
4.131 0.000 0.000
0.000 4.280 0.000
-1.728 0.000 5.218
```

Summary:
Polymorph energy (0 for the lowest one) ... 0.0993 eV per atom
Formation enthalpy at 0 K ... 0.2101 eV per atom
E ... -4.726 eV/atom